Here is a geometry-optimized ThNiAgH6 structure from Alexandria via LeMat-Bulk. Energies are from PBE.

Volume   8.83 Å³/atom
Final energy   -4.15 eV/atom
Density   8.452 Mg/m³
Crystal system   hexagonal

Cell and atoms, written as CIF:
```
data_ThNiAgH6
_space_group_name_H-M_alt 'P -6 m 2'
_space_group_IT_number 187
_space_group_name_Hall 'P -6 2'
_cell_length_a 4.5930
_cell_length_b 4.5930
_cell_length_c 4.3511
_cell_angle_alpha 90.00
_cell_angle_beta 90.00
_cell_angle_gamma 120.00
loop_
_atom_site_label
_atom_site_type_symbol
_atom_site_fract_x
_atom_site_fract_y
_atom_site_fract_z
Th1 Th 0.0000 0.0000 0.0000
Ni1 Ni 0.6667 0.3333 0.5000
Ag1 Ag 0.3333 0.6667 0.5000
H1 H 0.5203 0.0406 0.2107
```